4
Lattice="2.9307 0.0000 0.0000 0.0000 4.3931 0.0000 -1.2325 0.0000 5.0278" Properties=species:S:1:pos:R:3 comment="ScAlTc2 (PBE-GGA, relaxed)" magnetic_moment_mub_per_atom=0.0000 formation_enthalpy_0k_ev_per_atom=-0.206 dos_ef_per_ev_cell=2.99 pbc="T T T"
Sc 0.0000 0.0000 0.0000
Al 0.1551 2.1966 3.7991
Tc 0.7818 0.0000 2.4389
Tc 1.7527 2.1966 1.4831